(1)
Compound: Be2PH
Source: the Alexandria database
Functional: PBE
Structure: relaxed

It has space group Cc (No. 9), with a = 3.820 Å, b = 10.723 Å, c = 4.023 Å, α = 90.00°, β = 90.27° and γ = 90.00°. The distinct sites, in fractional coordinates, are Be at (0.000, 0.060, 0.000), Be at (0.099, 0.328, 0.252), P at (0.105, 0.143, 0.500) and H at (0.119, 0.420, 0.515).

The crystal system is monoclinic. The calculation puts the energy above the most stable polymorph in this dataset at 0.025 eV/atom.


(2)
Compound: LaPm12Nd7
Source: the Alexandria database
Functional: PBE
Structure: relaxed

It has space group Im-3m (No. 229), with a = 11.632 Å, b = 11.632 Å, c = 11.632 Å, α = 90.00°, β = 90.00° and γ = 90.00°. The distinct sites, in fractional coordinates, are La at (0.000, 0.000, 0.000), Pm at (0.000, 0.252, 0.252), Nd at (0.000, 0.000, 0.500) and Nd at (0.250, 0.250, 0.250).

The crystal system is cubic. The calculation puts the energy above the most stable polymorph in this dataset at 0.368 eV/atom.


(3)
Compound: PrNd8Tm2
Source: the Alexandria database
Functional: PBE
Structure: relaxed

It has space group C2/m (No. 12), with a = 14.453 Å, b = 6.806 Å, c = 8.717 Å, α = 90.00°, β = 115.24° and γ = 90.00°. The distinct sites, in fractional coordinates, are Pr at (0.000, 0.000, 0.000), Nd at (0.094, 0.258, 0.388), Nd at (0.110, 0.500, 0.997), Nd at (0.238, 0.500, 0.777) and Tm at (0.141, 0.000, 0.758).

The crystal system is monoclinic. The calculation puts the energy above the most stable polymorph in this dataset at 0.071 eV/atom.


(4)
Compound: AgPSe2Br
Source: the Alexandria database
Functional: PBE
Structure: relaxed

It has space group P4/mmm (No. 123), with a = 5.148 Å, b = 5.148 Å, c = 5.047 Å, α = 90.00°, β = 90.00° and γ = 90.00°. The distinct sites, in fractional coordinates, are Ag at (0.000, 0.000, 0.000), P at (0.500, 0.500, 0.500), Se at (0.000, 0.500, 0.000) and Br at (0.000, 0.000, 0.500).

The calculation puts the raw formation energy at 934 meV/atom. The crystal system is tetragonal. The calculation puts the energy above the most stable polymorph in this dataset at 0.531 eV/atom.


(5)
Compound: PmDy4Y2Mg
Source: the Alexandria database
Functional: PBE
Structure: relaxed

It has space group P4/mmm (No. 123), with a = 5.763 Å, b = 5.763 Å, c = 7.511 Å, α = 90.00°, β = 90.00° and γ = 90.00°. The distinct sites, in fractional coordinates, are Pm at (0.000, 0.000, 0.000), Dy at (0.000, 0.500, 0.242), Y at (0.000, 0.000, 0.500), Y at (0.500, 0.500, 0.500) and Mg at (0.500, 0.500, 0.000).

The crystal system is tetragonal.


(6)
Compound: Hg3Au
Source: the Alexandria database
Functional: PBE
Structure: relaxed

It has space group Cmcm (No. 63), with a = 5.909 Å, b = 17.673 Å, c = 3.752 Å, α = 90.00°, β = 90.00° and γ = 90.00°. The distinct sites, in fractional coordinates, are Hg at (0.000, 0.206, 0.250), Hg at (0.244, 0.071, 0.750) and Au at (0.000, 0.331, 0.750).

The crystal system is orthorhombic. The calculation puts the energy above the most stable polymorph in this dataset at 0.046 eV/atom.


(7)
Compound: Tc2Ge2Bi
Source: the Alexandria database
Functional: PBE
Structure: relaxed

It has space group P4/mbm (No. 127), with a = 7.563 Å, b = 7.563 Å, c = 3.070 Å, α = 90.00°, β = 90.00° and γ = 90.00°. The distinct sites, in fractional coordinates, are Tc at (0.152, 0.348, 0.000), Ge at (0.134, 0.634, 0.500) and Bi at (0.000, 0.000, 0.500).

The crystal system is tetragonal. The calculation puts the energy above the most stable polymorph in this dataset at 0.126 eV/atom.


(8)
Compound: AgPt2Br
Source: the Alexandria database
Functional: PBE
Structure: relaxed

It has space group Pmmm (No. 47), with a = 2.942 Å, b = 4.091 Å, c = 5.904 Å, α = 90.00°, β = 90.00° and γ = 90.00°. The distinct sites, in fractional coordinates, are Ag at (0.000, 0.000, 0.000), Pt at (0.500, 0.500, 0.239) and Br at (0.000, 0.000, 0.500).

The calculation puts the raw formation energy at 515 meV/atom. The crystal system is orthorhombic. The calculation puts the energy above the most stable polymorph in this dataset at 0.314 eV/atom.


(9)
Compound: Rb2Cd2In
Source: the Alexandria database
Functional: PBE
Structure: relaxed

It has space group P4/mbm (No. 127), with a = 7.959 Å, b = 7.959 Å, c = 6.143 Å, α = 90.00°, β = 90.00° and γ = 90.00°. The distinct sites, in fractional coordinates, are Rb at (0.179, 0.321, 0.000), Cd at (0.137, 0.637, 0.500) and In at (0.000, 0.000, 0.500).

The crystal system is tetragonal. The calculation puts the energy above the most stable polymorph in this dataset at 0.074 eV/atom.


(10)
Compound: FeNi4Rh2
Source: the Alexandria database
Functional: PBE
Structure: relaxed

It has space group Cmce (No. 64), with a = 8.374 Å, b = 4.776 Å, c = 8.878 Å, α = 90.00°, β = 90.00° and γ = 90.00°. The distinct sites, in fractional coordinates, are Fe at (0.000, 0.000, 0.000), Ni at (0.000, 0.008, 0.274), Ni at (0.250, 0.245, 0.750) and Rh at (0.179, 0.000, 0.500).

The crystal system is orthorhombic.


(11)
Compound: La5Tb4Sm2
Source: the Alexandria database
Functional: PBE
Structure: relaxed

It has space group C2/m (No. 12), with a = 18.025 Å, b = 3.585 Å, c = 11.819 Å, α = 90.00°, β = 93.85° and γ = 90.00°. The distinct sites, in fractional coordinates, are La at (0.000, 0.000, 0.000), La at (0.096, 0.500, 0.534), La at (0.176, 0.500, 0.073), Tb at (0.034, 0.500, 0.262), Tb at (0.140, 0.000, 0.799) and Sm at (0.216, 0.000, 0.352).

The crystal system is monoclinic. The calculation puts the energy above the most stable polymorph in this dataset at 0.000 eV/atom.


(12)
Compound: Zn2BiB
Source: the Alexandria database
Functional: PBE
Structure: relaxed

It has space group Fm-3m (No. 225), with a = 6.693 Å, b = 6.693 Å, c = 6.693 Å, α = 90.00°, β = 90.00° and γ = 90.00°. The distinct sites, in fractional coordinates, are Zn at (0.250, 0.250, 0.250), Bi at (0.000, 0.000, 0.000) and B at (0.000, 0.000, 0.500).

The crystal system is cubic. The calculation puts the energy above the most stable polymorph in this dataset at 0.519 eV/atom.


(13)
Compound: BeHgAs2Se
Source: the Alexandria database
Functional: PBE
Structure: relaxed

It has space group P4/mmm (No. 123), with a = 4.597 Å, b = 4.597 Å, c = 4.740 Å, α = 90.00°, β = 90.00° and γ = 90.00°. The distinct sites, in fractional coordinates, are Be at (0.000, 0.000, 0.000), Hg at (0.500, 0.500, 0.500), As at (0.000, 0.500, 0.000) and Se at (0.000, 0.000, 0.500).

The calculation puts the raw formation energy at 481 meV/atom. The crystal system is tetragonal. The calculation puts the energy above the most stable polymorph in this dataset at 0.000 eV/atom.


(14)
Compound: CeDyRhI
Source: the Alexandria database
Functional: PBE
Structure: relaxed

It has space group R3m (No. 160, hexagonal axes), with a = 4.0727 Å, b = 4.0727 Å, c = 24.2318 Å, α = 90.00°, β = 90.00° and γ = 120.00°. The distinct sites, in fractional coordinates, are Ce at (0.0000, 0.0000, 0.0000), Dy at (0.0000, 0.0000, 0.2100), Rh at (0.0000, 0.0000, 0.6061) and I at (0.0000, 0.0000, 0.4394).

The calculation puts the raw formation energy at -882 meV/atom. The crystal system is trigonal.


(15)
Compound: Fe3CCl
Source: the Alexandria database
Functional: PBE
Structure: relaxed

It has space group Pm-3m (No. 221), with a = 3.918 Å, b = 3.918 Å, c = 3.918 Å, α = 90.00°, β = 90.00° and γ = 90.00°. The distinct sites, in fractional coordinates, are Fe at (0.000, 0.000, 0.500), C at (0.000, 0.000, 0.000) and Cl at (0.500, 0.500, 0.500).

The calculation puts the raw formation energy at 502 meV/atom. The crystal system is cubic. The calculation puts the energy above the most stable polymorph in this dataset at 0.000 eV/atom.


(16)
Compound: Tb2AlGa4
Source: the Alexandria database
Functional: PBE
Structure: relaxed

It has space group P4/mmm (No. 123), with a = 6.492 Å, b = 6.492 Å, c = 3.721 Å, α = 90.00°, β = 90.00° and γ = 90.00°. The distinct sites, in fractional coordinates, are Tb at (0.000, 0.500, 0.000), Al at (0.000, 0.000, 0.500) and Ga at (0.298, 0.298, 0.500).

The crystal system is tetragonal.


(17)
Compound: GaSbTe2Br
Source: the Alexandria database
Functional: PBE
Structure: relaxed

It has space group P4/mmm (No. 123), with a = 5.787 Å, b = 5.787 Å, c = 5.536 Å, α = 90.00°, β = 90.00° and γ = 90.00°. The distinct sites, in fractional coordinates, are Ga at (0.000, 0.000, 0.000), Sb at (0.500, 0.500, 0.000), Te at (0.000, 0.500, 0.500) and Br at (0.500, 0.500, 0.500).

The calculation puts the raw formation energy at 738 meV/atom. The crystal system is tetragonal. The calculation puts the energy above the most stable polymorph in this dataset at 0.350 eV/atom.


(18)
Compound: Ba3Al4Ga2
Source: the Alexandria database
Functional: PBE
Structure: relaxed

It has space group C2/m (No. 12), with a = 12.958 Å, b = 4.459 Å, c = 9.752 Å, α = 90.00°, β = 110.85° and γ = 90.00°. The distinct sites, in fractional coordinates, are Ba at (0.000, 0.000, 0.000), Ba at (0.098, 0.500, 0.678), Al at (0.161, 0.000, 0.434), Al at (0.231, 0.500, 0.056) and Ga at (0.181, 0.500, 0.296).

The crystal system is monoclinic. The calculation puts the energy above the most stable polymorph in this dataset at 0.005 eV/atom.


(19)
Compound: LiPr5Ni2
Source: the Alexandria database
Functional: PBE
Structure: relaxed

It has space group I4/mcm (No. 140), with a = 8.011 Å, b = 8.011 Å, c = 13.753 Å, α = 90.00°, β = 90.00° and γ = 90.00°. The distinct sites, in fractional coordinates, are Li at (0.000, 0.000, 0.250), Pr at (0.000, 0.000, 0.000), Pr at (0.161, 0.339, 0.134) and Ni at (0.120, 0.380, 0.500).

The crystal system is tetragonal.


(20)
Compound: PuGa2Au
Source: the Alexandria database
Functional: PBE
Structure: relaxed

It has space group R-3m (No. 166, hexagonal axes), with a = 4.3741 Å, b = 4.3741 Å, c = 15.1140 Å, α = 90.00°, β = 90.00° and γ = 120.00°. The distinct sites, in fractional coordinates, are Pu at (0.0000, 0.0000, 0.0000), Ga at (0.0000, 0.0000, 0.2232) and Au at (0.0000, 0.0000, 0.5000).

The crystal system is trigonal.


(21)
Compound: Sc2HgP2
Source: the Alexandria database
Functional: PBE
Structure: relaxed

It has space group I4/mmm (No. 139), with a = 3.513 Å, b = 3.513 Å, c = 15.403 Å, α = 90.00°, β = 90.00° and γ = 90.00°. The distinct sites, in fractional coordinates, are Sc at (0.000, 0.000, 0.119), Hg at (0.000, 0.000, 0.500) and P at (0.000, 0.500, 0.250).

The crystal system is tetragonal. The calculation puts the energy above the most stable polymorph in this dataset at 0.182 eV/atom.


(22)
Compound: Ti2BeVN
Source: the Alexandria database
Functional: PBE
Structure: relaxed

It has space group P4/mmm (No. 123), with a = 4.095 Å, b = 4.095 Å, c = 3.800 Å, α = 90.00°, β = 90.00° and γ = 90.00°. The distinct sites, in fractional coordinates, are Ti at (0.000, 0.500, 0.000), Be at (0.000, 0.000, 0.500), V at (0.500, 0.500, 0.500) and N at (0.500, 0.500, 0.000).

The calculation puts the raw formation energy at -660 meV/atom. The crystal system is tetragonal.


(23)
Compound: Dy2AlSiPt6
Source: the Alexandria database
Functional: PBE
Structure: relaxed

It has space group R-3m (No. 166, hexagonal axes), with a = 5.6053 Å, b = 5.6053 Å, c = 21.9752 Å, α = 90.00°, β = 90.00° and γ = 120.00°. The distinct sites, in fractional coordinates, are Dy at (0.0000, 0.0000, 0.2056), Al at (0.0000, 0.0000, 0.5000), Si at (0.0000, 0.0000, 0.0000) and Pt at (0.0038, 0.5019, 0.2538).

The calculation puts the raw formation energy at -952 meV/atom. The crystal system is trigonal.


(24)
Compound: Y3Ho2Tm6Zr
Source: the Alexandria database
Functional: PBE
Structure: relaxed

It has space group C2/m (No. 12), with a = 6.042 Å, b = 10.449 Å, c = 11.552 Å, α = 90.00°, β = 100.00° and γ = 90.00°. The distinct sites, in fractional coordinates, are Y at (0.000, 0.000, 0.000), Y at (0.000, 0.333, 0.000), Ho at (0.000, 0.167, 0.500), Tm at (0.244, 0.337, 0.743), Tm at (0.246, 0.500, 0.257) and Zr at (0.000, 0.500, 0.500).

The crystal system is monoclinic.


Record-wise calculated total energy values, in eV/atom: -4.214; -4.184; -4.504; -2.447; -4.613; -0.978; -6.465; -3.636; -1.294; -6.446; -4.709; -2.237; -2.881; -5.742; -6.789; -3.873; -2.284; -3.264; -4.760; -6.264; -5.425; -8.052; -6.414; -5.281